No. 1
Material: SrNi3Te
Method: DFT, PBE
State: relaxed

The structure belongs to space group Pm-3m (No. 221); the cell edges are 4.748, 4.748 and 4.748 Å and the angles 90.00°, 90.00° and 90.00°. Symmetry generates all atoms from Sr at (0.000, 0.000, 0.000), Ni at (0.000, 0.500, 0.500) and Te at (0.500, 0.500, 0.500).

Its uncorrected formation energy is 10.7 kJ/mol of atoms. As for the energy above the most stable polymorph in this dataset: 0 meV/atom.



No. 2
Material: Sr2NiTe
Method: DFT, PBE
State: relaxed

The structure belongs to space group P2/m (No. 10); the cell edges are 3.951, 3.952 and 7.587 Å and the angles 90.00°, 90.11° and 90.00°. Symmetry generates all atoms from Sr at (0.001, 0.000, 0.259), Ni at (0.500, 0.500, 0.500) and Te at (0.500, 0.500, 0.000).

Its uncorrected formation energy is -55.5 kJ/mol of atoms.